(1)
A plane-wave DFT calculation with PBE was carried out for a relaxed structure of SmP2Ir3.

Cell and atoms, written as POSCAR:
```
SmP2Ir3
1.0
7.990 -1.958 0.000
7.990 1.958 0.000
-2.937 0.000 9.342
Sm P Ir
3 6 9
Direct
0.000 0.000 0.000
0.151 0.151 0.689
0.849 0.849 0.311
0.203 0.203 0.136
0.364 0.364 0.550
0.462 0.462 0.222
0.538 0.538 0.778
0.636 0.636 0.450
0.797 0.797 0.864
0.043 0.043 0.323
0.226 0.226 0.396
0.326 0.326 0.054
0.366 0.366 0.790
0.500 0.500 0.500
0.634 0.634 0.210
0.674 0.674 0.946
0.774 0.774 0.604
0.957 0.957 0.677
```

- E_tot (eV per atom) = -7.87
- symmetry = C2/m, No. 12
- calculated formation energy (eV per atom) = -0.854
- DOS at the Fermi energy (states/eV/cell) = 4.4

(2)
A plane-wave DFT calculation with PBE was carried out for a relaxed structure of SmP2Ir5.

Cell and atoms, written as POSCAR:
```
SmP2Ir5
1.0
-1.980 3.435 4.686
1.980 -3.435 4.686
1.980 3.435 -4.686
Sm P Ir
1 2 5
Direct
0.000 0.000 0.000
0.253 0.753 0.500
0.747 0.247 0.500
0.148 0.352 0.796
0.443 0.648 0.796
0.500 0.000 0.500
0.557 0.352 0.204
0.852 0.648 0.204
```

- E_tot (eV per atom) = -8.14
- symmetry = Immm, No. 71
- calculated formation energy (eV per atom) = -0.656
- DOS at the Fermi energy (states/eV/cell) = 3.9

(3)
A plane-wave DFT calculation with PBE was carried out for a relaxed structure of SmP4Ir5.

Cell and atoms, written as POSCAR:
```
SmP4Ir5
1.0
6.910 0.000 0.000
0.000 10.486 0.000
0.000 0.000 4.570
Sm P Ir
2 8 10
Direct
0.250 0.250 0.015
0.750 0.750 0.985
0.018 0.750 0.510
0.250 0.531 0.766
0.250 0.969 0.766
0.482 0.750 0.510
0.518 0.250 0.490
0.750 0.031 0.234
0.750 0.469 0.234
0.982 0.250 0.490
0.054 0.566 0.248
0.054 0.934 0.248
0.250 0.750 0.902
0.446 0.566 0.248
0.446 0.934 0.248
0.554 0.066 0.752
0.554 0.434 0.752
0.750 0.250 0.098
0.946 0.066 0.752
0.946 0.434 0.752
```

- E_tot (eV per atom) = -7.58
- symmetry = Pmmn, No. 59
- calculated formation energy (eV per atom) = -0.512
- DOS at the Fermi energy (states/eV/cell) = 10.0

(4)
A plane-wave DFT calculation with PBE was carried out for a relaxed structure of SmP2Ir.

Cell and atoms, written as POSCAR:
```
SmP2Ir
1.0
1.953 1.128 5.434
-1.953 1.128 5.434
0.000 -2.256 5.434
Sm P Ir
1 2 1
Direct
0.000 0.000 0.000
0.227 0.227 0.227
0.773 0.773 0.773
0.500 0.500 0.500
```

- E_tot (eV per atom) = -7.11
- symmetry = R-3m, No. 166
- calculated formation energy (eV per atom) = -1.012
- DOS at the Fermi energy (states/eV/cell) = 0.4

(5)
A plane-wave DFT calculation with PBE was carried out for a relaxed structure of SmP3Ir6.

Cell and atoms, written as POSCAR:
```
SmP3Ir6
1.0
5.500 0.000 0.000
2.731 4.805 0.000
0.121 1.697 5.943
Sm P Ir
1 3 6
Direct
0.000 0.000 0.000
0.085 0.838 0.489
0.355 0.301 0.088
0.675 0.651 0.095
0.066 0.288 0.391
0.459 0.075 0.791
0.473 0.577 0.792
0.483 0.452 0.377
0.646 0.873 0.386
0.967 0.573 0.807
```

- E_tot (eV per atom) = -7.93
- symmetry = P1, No. 1
- calculated formation energy (eV per atom) = -0.515
- DOS at the Fermi energy (states/eV/cell) = 4.7

(6)
A plane-wave DFT calculation with PBE was carried out for a relaxed structure of SmPIr3.

Cell and atoms, written as POSCAR:
```
SmPIr3
1.0
-2.013 2.013 5.312
2.013 -2.013 5.312
2.013 2.013 -5.312
Sm P Ir
1 1 3
Direct
0.000 0.000 0.000
0.626 0.626 0.000
0.242 0.742 0.500
0.414 0.414 0.000
0.742 0.242 0.500
```

- E_tot (eV per atom) = -8.11
- symmetry = I4mm, No. 107
- calculated formation energy (eV per atom) = -0.763
- DOS at the Fermi energy (states/eV/cell) = 4.2

(7)
A plane-wave DFT calculation with PBE was carried out for a relaxed structure of Sm3P4Ir2.

Cell and atoms, written as POSCAR:
```
Sm3P4Ir2
1.0
5.827 -2.030 0.000
5.827 2.030 0.000
-3.965 0.000 7.565
Sm P Ir
3 4 2
Direct
0.000 0.000 0.000
0.370 0.370 0.276
0.630 0.630 0.724
0.090 0.090 0.392
0.309 0.309 0.898
0.691 0.691 0.102
0.910 0.910 0.608
0.317 0.317 0.625
0.683 0.683 0.375
```

- E_tot (eV per atom) = -7.04
- symmetry = C2/m, No. 12
- calculated formation energy (eV per atom) = -1.098
- DOS at the Fermi energy (states/eV/cell) = 4.1

(8)
A plane-wave DFT calculation with PBE was carried out for a relaxed structure of Sm2P2Ir.

Cell and atoms, written as POSCAR:
```
Sm2P2Ir
1.0
5.412 -2.035 0.000
5.412 2.035 0.000
-3.977 0.000 9.545
Sm P Ir
4 4 2
Direct
0.091 0.091 0.396
0.300 0.300 0.857
0.700 0.700 0.143
0.909 0.909 0.604
0.048 0.048 0.917
0.343 0.343 0.362
0.657 0.657 0.638
0.952 0.952 0.083
0.435 0.435 0.182
0.565 0.565 0.818
```

- E_tot (eV per atom) = -7.01
- symmetry = C2/m, No. 12
- calculated formation energy (eV per atom) = -1.189
- DOS at the Fermi energy (states/eV/cell) = 5.0

(9)
A plane-wave DFT calculation with PBE was carried out for a relaxed structure of SmP2Ir2.

Cell and atoms, written as POSCAR:
```
SmP2Ir2
1.0
4.162 0.000 0.000
0.000 4.162 0.000
0.000 0.000 9.591
Sm P Ir
2 4 4
Direct
0.250 0.250 0.242
0.750 0.750 0.758
0.250 0.250 0.640
0.250 0.750 0.000
0.750 0.250 0.000
0.750 0.750 0.360
0.250 0.250 0.886
0.250 0.750 0.500
0.750 0.250 0.500
0.750 0.750 0.114
```

- E_tot (eV per atom) = -7.65
- symmetry = P4/nmm, No. 129
- calculated formation energy (eV per atom) = -0.998
- DOS at the Fermi energy (states/eV/cell) = 2.9

(10)
A plane-wave DFT calculation with PBE was carried out for a relaxed structure of SmP2Ir2.

Cell and atoms, written as POSCAR:
```
SmP2Ir2
1.0
2.835 -2.841 0.000
2.835 2.841 0.000
-2.820 0.000 5.051
Sm P Ir
1 2 2
Direct
0.000 0.000 0.000
0.385 0.385 0.772
0.615 0.615 0.228
0.250 0.750 0.500
0.750 0.250 0.500
```

- E_tot (eV per atom) = -7.50
- symmetry = C2/m, No. 12
- calculated formation energy (eV per atom) = -0.850
- DOS at the Fermi energy (states/eV/cell) = 3.0

(11)
A plane-wave DFT calculation with PBE was carried out for a relaxed structure of SmP3Ir3.

Cell and atoms, written as POSCAR:
```
SmP3Ir3
1.0
6.457 0.000 0.000
0.000 6.457 0.000
0.000 0.000 6.457
Sm P Ir
2 6 6
Direct
0.000 0.000 0.000
0.500 0.500 0.500
0.000 0.250 0.500
0.000 0.750 0.500
0.250 0.500 0.000
0.500 0.000 0.250
0.500 0.000 0.750
0.750 0.500 0.000
0.000 0.500 0.250
0.000 0.500 0.750
0.250 0.000 0.500
0.500 0.250 0.000
0.500 0.750 0.000
0.750 0.000 0.500
```

- E_tot (eV per atom) = -7.35
- symmetry = Pm-3n, No. 223
- calculated formation energy (eV per atom) = -0.563
- DOS at the Fermi energy (states/eV/cell) = 7.2

(12)
A plane-wave DFT calculation with PBE was carried out for a relaxed structure of SmP3Ir5.

Cell and atoms, written as POSCAR:
```
SmP3Ir5
1.0
1.968 -6.067 0.000
1.968 6.067 0.000
0.000 0.000 12.295
Sm P Ir
2 6 10
Direct
0.149 0.851 0.750
0.851 0.149 0.250
0.122 0.878 0.250
0.394 0.606 0.051
0.394 0.606 0.449
0.606 0.394 0.551
0.606 0.394 0.949
0.878 0.122 0.750
0.000 0.000 0.000
0.000 0.000 0.500
0.215 0.785 0.080
0.215 0.785 0.420
0.434 0.566 0.640
0.434 0.566 0.860
0.566 0.434 0.140
0.566 0.434 0.360
0.785 0.215 0.580
0.785 0.215 0.920
```

- E_tot (eV per atom) = -7.84
- symmetry = Cmcm, No. 63
- calculated formation energy (eV per atom) = -0.593
- DOS at the Fermi energy (states/eV/cell) = 8.8

(13)
A plane-wave DFT calculation with PBE was carried out for a relaxed structure of Sm8Te4P3Ir.

Cell and atoms, written as POSCAR:
```
Sm8Te4P3Ir
1.0
4.236 2.445 7.203
-4.236 2.445 7.203
0.000 -4.891 7.203
Sm Te P Ir
8 4 3 1
Direct
0.238 0.238 0.238
0.241 0.735 0.735
0.265 0.265 0.759
0.265 0.759 0.265
0.735 0.241 0.735
0.735 0.735 0.241
0.759 0.265 0.265
0.762 0.762 0.762
0.000 0.000 0.000
0.000 0.500 0.500
0.500 0.000 0.500
0.500 0.500 0.000
0.000 0.000 0.500
0.000 0.500 0.000
0.500 0.000 0.000
0.500 0.500 0.500
```

- E_tot (eV per atom) = -6.13
- symmetry = R-3m, No. 166
- formation energy without anion corrections (meV per atom) = -1413
- DOS at the Fermi energy (states/eV/cell) = 10.3

(14)
A plane-wave DFT calculation with PBE was carried out for a relaxed structure of Sm2TiP3Ir4.

Cell and atoms, written as POSCAR:
```
Sm2TiP3Ir4
1.0
4.041 0.000 0.000
0.000 4.041 0.000
0.000 0.000 10.438
Sm Ti P Ir
2 1 3 4
Direct
0.000 0.500 0.238
0.500 0.000 0.762
0.000 0.000 0.500
0.000 0.500 0.865
0.500 0.000 0.135
0.500 0.500 0.500
0.000 0.000 0.000
0.000 0.500 0.641
0.500 0.000 0.359
0.500 0.500 0.000
```

- E_tot (eV per atom) = -7.89
- symmetry = P-4m2, No. 115
- calculated formation energy (eV per atom) = -0.990
- DOS at the Fermi energy (states/eV/cell) = 6.0

(15)
A plane-wave DFT calculation with PBE was carried out for a relaxed structure of Sm2UP3Ir12.

Cell and atoms, written as POSCAR:
```
Sm2UP3Ir12
1.0
4.076 2.353 5.898
-4.076 2.353 5.898
0.000 -4.706 5.898
Sm U P Ir
2 1 3 12
Direct
0.097 0.097 0.097
0.903 0.903 0.903
0.500 0.500 0.500
0.000 0.500 0.500
0.500 0.000 0.500
0.500 0.500 0.000
0.112 0.641 0.641
0.157 0.157 0.593
0.157 0.593 0.157
0.359 0.359 0.888
0.359 0.888 0.359
0.407 0.843 0.843
0.593 0.157 0.157
0.641 0.112 0.641
0.641 0.641 0.112
0.843 0.407 0.843
0.843 0.843 0.407
0.888 0.359 0.359
```

- E_tot (eV per atom) = -8.02
- symmetry = R-3m, No. 166
- calculated formation energy (eV per atom) = -0.062
- DOS at the Fermi energy (states/eV/cell) = 12.3

(16)
A plane-wave DFT calculation with PBE was carried out for a relaxed structure of Sm2ZnP3Ir4.

Cell and atoms, written as POSCAR:
```
Sm2ZnP3Ir4
1.0
4.098 0.000 0.000
0.000 4.098 0.000
0.000 0.000 10.036
Sm Zn P Ir
2 1 3 4
Direct
0.000 0.500 0.248
0.500 0.000 0.752
0.500 0.500 0.000
0.000 0.000 0.000
0.000 0.500 0.636
0.500 0.000 0.364
0.000 0.000 0.500
0.000 0.500 0.863
0.500 0.000 0.137
0.500 0.500 0.500
```

- E_tot (eV per atom) = -7.12
- symmetry = P-4m2, No. 115
- calculated formation energy (eV per atom) = -0.881
- DOS at the Fermi energy (states/eV/cell) = 4.1

(17)
A plane-wave DFT calculation with PBE was carried out for a relaxed structure of SnPIr.

Cell and atoms, written as POSCAR:
```
SnPIr
1.0
6.290 0.000 0.000
0.000 6.212 0.000
-2.239 0.000 5.967
Sn P Ir
4 4 4
Direct
0.149 0.127 0.372
0.149 0.373 0.872
0.851 0.627 0.128
0.851 0.873 0.628
0.352 0.637 0.668
0.352 0.863 0.168
0.648 0.137 0.832
0.648 0.363 0.332
0.305 0.528 0.306
0.305 0.972 0.806
0.695 0.028 0.194
0.695 0.472 0.694
```

- E_tot (eV per atom) = -6.52
- symmetry = P2_1/c, No. 14
- calculated formation energy (eV per atom) = -0.429
- DOS at the Fermi energy (states/eV/cell) = 2.8

(18)
A plane-wave DFT calculation with PBE was carried out for a relaxed structure of SnP3Ir.

Cell and atoms, written as POSCAR:
```
SnP3Ir
1.0
4.691 0.000 0.000
0.000 4.691 0.000
0.000 0.000 4.691
Sn P Ir
1 3 1
Direct
0.000 0.000 0.000
0.000 0.500 0.500
0.500 0.000 0.500
0.500 0.500 0.000
0.500 0.500 0.500
```

- E_tot (eV per atom) = -5.21
- symmetry = Pm-3m, No. 221
- offset from the most stable computed form (eV/atom) = 0.000
- calculated formation energy (eV per atom) = 0.606
- DOS at the Fermi energy (states/eV/cell) = 6.0

(19)
A plane-wave DFT calculation with PBE was carried out for a relaxed structure of SnPIr2.

Cell and atoms, written as POSCAR:
```
SnPIr2
1.0
-2.814 2.814 5.493
2.814 -2.814 5.493
2.814 2.814 -5.493
Sn P Ir
2 2 4
Direct
0.000 0.000 0.000
0.750 0.250 0.500
0.250 0.750 0.500
0.500 0.500 0.000
0.183 0.625 0.058
0.375 0.433 0.558
0.567 0.125 0.942
0.875 0.817 0.442
```

- E_tot (eV per atom) = -6.84
- symmetry = I-42d, No. 122
- offset from the most stable computed form (eV/atom) = 0.000
- calculated formation energy (eV per atom) = -0.055
- DOS at the Fermi energy (states/eV/cell) = 3.2

(20)
A plane-wave DFT calculation with PBE was carried out for a relaxed structure of SnPIr2.

Cell and atoms, written as POSCAR:
```
SnPIr2
1.0
0.000 3.176 3.176
3.176 0.000 3.176
3.176 3.176 0.000
Sn P Ir
1 1 2
Direct
0.000 0.000 0.000
0.500 0.500 0.500
0.250 0.250 0.250
0.750 0.750 0.750
```

- E_tot (eV per atom) = -6.50
- symmetry = Fm-3m, No. 225
- offset from the most stable computed form (eV/atom) = 0.334
- calculated formation energy (eV per atom) = 0.279
- DOS at the Fermi energy (states/eV/cell) = 5.5

(21)
A plane-wave DFT calculation with PBE was carried out for a relaxed structure of SnP2Ir.

Cell and atoms, written as POSCAR:
```
SnP2Ir
1.0
-2.809 2.809 5.653
2.809 -2.809 5.653
2.809 2.809 -5.653
Sn P Ir
2 4 2
Direct
0.000 0.000 0.000
0.750 0.250 0.500
0.179 0.625 0.054
0.375 0.429 0.554
0.571 0.125 0.946
0.875 0.821 0.446
0.250 0.750 0.500
0.500 0.500 0.000
```

- E_tot (eV per atom) = -6.05
- symmetry = I-42d, No. 122
- calculated formation energy (eV per atom) = -0.134
- DOS at the Fermi energy (states/eV/cell) = 5.1

(22)
A plane-wave DFT calculation with PBE was carried out for a relaxed structure of TaSn2PIr.

Cell and atoms, written as POSCAR:
```
TaSn2PIr
1.0
5.356 0.000 0.000
0.000 5.356 0.000
0.000 0.000 4.651
Ta Sn P Ir
1 2 1 1
Direct
0.000 0.000 0.000
0.000 0.500 0.000
0.500 0.000 0.000
0.000 0.000 0.500
0.500 0.500 0.500
```

- E_tot (eV per atom) = -5.65
- symmetry = P4/mmm, No. 123
- calculated formation energy (eV per atom) = 1.172
- DOS at the Fermi energy (states/eV/cell) = 9.4